Record 1
Entry from Alexandria: a relaxed structure of LaSm5Hg4 (PBE-GGA).

The structure in POSCAR format:
```
LaSm5Hg4
1.0
3.782 0.000 0.000
0.000 3.782 0.000
0.000 0.000 20.207
La Sm Hg
1 5 4
Cartesian
0.000 0.000 0.000
1.891 1.891 2.517
1.891 1.891 6.317
1.891 1.891 10.104
1.891 1.891 13.890
1.891 1.891 17.690
0.000 0.000 4.357
0.000 0.000 8.193
0.000 0.000 12.014
0.000 0.000 15.850
```

Properties
The formation energy comes out at -0.37 eV/atom. Its density of states at the Fermi level is 13.8 states/eV per cell.

***

Record 2
Entry from Alexandria: a relaxed structure of TlGePb2W (PBE-GGA).

The structure in POSCAR format:
```
TlGePb2W
1.0
5.632 0.000 0.000
0.000 4.866 0.000
0.000 0.000 5.632
Pb Tl Ge W
2 1 1 1
Cartesian
0.000 0.000 2.816
2.816 0.000 0.000
2.816 2.433 2.816
0.000 0.000 0.000
0.000 2.433 0.000
```

Properties
The formation energy comes out at 1.05 eV/atom. Its density of states at the Fermi level is 3.6 states/eV per cell.

***

Record 3
Entry from Alexandria: a relaxed structure of Sm2Cd3Pd4 (PBE-GGA).

The structure in POSCAR format:
```
Sm2Cd3Pd4
1.0
5.799 0.000 0.000
0.000 7.486 0.000
-2.900 0.000 8.708
Sm Cd Pd
4 6 8
Cartesian
0.000 4.370 1.829
2.900 3.116 6.879
0.000 0.627 6.879
2.900 6.859 1.829
0.000 0.000 0.000
2.900 3.743 0.000
1.450 5.615 4.604
4.349 1.872 4.104
1.450 1.872 4.104
-1.450 5.615 4.604
1.450 5.615 7.411
4.349 1.872 1.298
1.450 1.872 1.298
-1.450 5.615 7.411
0.000 7.264 2.798
2.900 0.222 5.910
0.000 3.521 5.910
2.900 3.965 2.798
```

Properties
The value obtained for the offset from the most stable computed form is 0.15 kcal/mol of atoms. The formation energy comes out at -0.59 eV/atom. Its density of states at the Fermi level is 9.2 states/eV per cell.

***

Record 4
Entry from Alexandria: a relaxed structure of Sr2Ca2Sb2O (PBE-GGA).

The structure in POSCAR format:
```
Sr2Ca2Sb2O
1.0
-0.189 2.352 -4.190
-4.633 -1.200 -0.465
0.151 6.557 6.433
Sr Ca Sb O
2 2 2 1
Cartesian
-0.749 2.363 1.360
-3.922 5.345 0.418
-2.317 -0.600 -0.232
-0.094 1.176 -2.095
-1.655 5.225 3.008
-3.015 2.484 -1.229
0.000 0.000 0.000
```

Properties
The value obtained for the formation energy from raw total energies is -1.66 eV/atom.